{"formula": "Fe2SiAs", "functional": "PBEsol", "state": "relaxed", "e_form_raw_mev_per_atom": -217, "cell": [[2.782, 0.000, 0.000], [0.000, 2.782, 0.000], [0.000, 0.000, 5.802]], "species": ["Fe", "Fe", "Si", "As"], "frac_coords": [[0.000, 0.000, 0.235], [0.000, 0.000, 0.765], [0.500, 0.500, 0.000], [0.500, 0.500, 0.500]]}



{"formula": "Y4MgAl", "functional": "PBEsol", "state": "relaxed", "delta_e_f_mev_per_atom": 334.4, "cell": [[0.000, 4.384, 4.384], [4.384, 0.000, 4.384], [4.384, 4.384, 0.000]], "species": ["Y", "Y", "Y", "Y", "Mg", "Al"], "frac_coords": [[0.376, 0.376, 0.376], [0.376, 0.376, 0.873], [0.376, 0.873, 0.376], [0.873, 0.376, 0.376], [0.000, 0.000, 0.000], [0.750, 0.750, 0.750]]}



{"formula": "ZrHgSe2", "functional": "PBEsol", "state": "relaxed", "e_form_raw_mev_per_atom": -436, "e_above_lowest_polymorph_ev_per_fu": 2.11, "cell": [[-1.981, 1.981, 5.132], [1.981, -1.981, 5.132], [1.981, 1.981, -5.132]], "species": ["Zr", "Hg", "Se", "Se"], "frac_coords": [[0.000, 0.000, 0.000], [0.750, 0.250, 0.500], [0.250, 0.750, 0.500], [0.500, 0.500, 0.000]]}



{"formula": "NaV6O13", "functional": "PBEsol", "state": "relaxed", "e_form_raw_mev_per_atom": -2360, "cell": [[10.640, -1.866, 0.000], [10.640, 1.866, 0.000], [-4.458, 0.000, 10.880]], "species": ["Na", "Na", "V", "V", "V", "V", "V", "V", "V", "V", "V", "V", "V", "V", "O", "O", "O", "O", "O", "O", "O", "O", "O", "O", "O", "O", "O", "O", "O", "O", "O", "O", "O", "O", "O", "O", "O", "O", "O", "O"], "frac_coords": [[0.164, 0.164, 0.191], [0.836, 0.836, 0.809], [0.066, 0.066, 0.477], [0.067, 0.067, 0.779], [0.246, 0.246, 0.595], [0.249, 0.249, 0.902], [0.434, 0.434, 0.026], [0.434, 0.434, 0.719], [0.566, 0.566, 0.281], [0.566, 0.566, 0.974], [0.751, 0.751, 0.098], [0.754, 0.754, 0.405], [0.933, 0.933, 0.221], [0.934, 0.934, 0.523], [0.045, 0.045, 0.611], [0.048, 0.048, 0.293], [0.057, 0.057, 0.939], [0.151, 0.151, 0.832], [0.152, 0.152, 0.534], [0.249, 0.249, 0.426], [0.250, 0.250, 0.074], [0.250, 0.250, 0.749], [0.348, 0.348, 0.961], [0.349, 0.349, 0.674], [0.444, 0.444, 0.563], [0.453, 0.453, 0.207], [0.454, 0.454, 0.890], [0.546, 0.546, 0.110], [0.547, 0.547, 0.793], [0.556, 0.556, 0.437], [0.651, 0.651, 0.326], [0.652, 0.652, 0.039], [0.750, 0.750, 0.251], [0.750, 0.750, 0.926], [0.751, 0.751, 0.574], [0.848, 0.848, 0.466], [0.849, 0.849, 0.168], [0.943, 0.943, 0.061], [0.952, 0.952, 0.707], [0.955, 0.955, 0.389]]}



{"formula": "YCrAsBr2", "functional": "PBEsol", "state": "relaxed", "e_form_raw_mev_per_atom": -338, "cell": [[4.791, 0.000, 0.000], [0.000, 4.791, 0.000], [0.000, 0.000, 5.146]], "species": ["Y", "Cr", "As", "Br", "Br"], "frac_coords": [[0.000, 0.000, 0.000], [0.500, 0.500, 0.500], [0.500, 0.500, 0.000], [0.000, 0.500, 0.500], [0.500, 0.000, 0.500]]}



{"formula": "TaTc2Pb", "functional": "PBEsol", "state": "relaxed", "delta_e_f_mev_per_atom": 349.5, "cell": [[3.025, 0.000, 0.000], [0.000, 4.019, 0.000], [0.000, 0.000, 5.655]], "species": ["Ta", "Tc", "Tc", "Pb"], "frac_coords": [[0.000, 0.000, 0.000], [0.000, 0.000, 0.425], [0.500, 0.500, 0.209], [0.500, 0.500, 0.696]]}



{"formula": "Sc4C", "functional": "PBEsol", "state": "relaxed", "delta_e_f_mev_per_atom": -196.2, "cell": [[3.244, 0.000, 0.000], [-1.622, 2.810, 0.000], [0.000, 0.000, 11.219]], "species": ["Sc", "Sc", "Sc", "Sc", "C"], "frac_coords": [[0.333, 0.667, 0.112], [0.333, 0.667, 0.390], [0.667, 0.333, 0.610], [0.667, 0.333, 0.888], [0.000, 0.000, 0.500]]}



{"formula": "BeAgPO2", "functional": "PBEsol", "state": "relaxed", "e_form_raw_mev_per_atom": -121, "cell": [[3.410, 0.000, 0.000], [0.000, 3.410, 0.000], [0.000, 0.000, 5.164]], "species": ["Be", "Ag", "P", "O", "O"], "frac_coords": [[0.000, 0.000, 0.000], [0.500, 0.500, 0.500], [0.000, 0.000, 0.500], [0.000, 0.500, 0.000], [0.500, 0.000, 0.000]]}



{"formula": "ZnCrMo2", "functional": "PBEsol", "state": "relaxed", "delta_e_f_mev_per_atom": 192.3, "cell": [[-1.557, 2.114, 4.219], [1.557, -2.114, 4.219], [1.557, 2.114, -4.219]], "species": ["Zn", "Cr", "Mo", "Mo"], "frac_coords": [[0.000, 0.000, 0.000], [0.500, 0.500, 0.000], [0.269, 0.769, 0.500], [0.731, 0.231, 0.500]]}



{"formula": "As3P", "functional": "PBEsol", "state": "relaxed", "delta_e_f_mev_per_atom": 43.9, "e_above_lowest_polymorph_ev_per_fu": 0.00, "cell": [[3.658, -4.000, 0.000], [3.658, 4.000, 0.000], [0.000, 0.000, 5.353]], "species": ["As", "As", "As", "As", "As", "As", "P", "P"], "frac_coords": [[0.229, 0.282, 0.250], [0.234, 0.766, 0.750], [0.282, 0.229, 0.750], [0.718, 0.771, 0.250], [0.766, 0.234, 0.250], [0.771, 0.718, 0.750], [0.276, 0.724, 0.250], [0.724, 0.276, 0.750]]}



{"formula": "YZn2Se", "functional": "PBEsol", "state": "relaxed", "e_form_raw_mev_per_atom": -547, "cell": [[2.119, 1.224, 5.853], [-2.119, 1.224, 5.853], [0.000, -2.447, 5.853]], "species": ["Y", "Zn", "Zn", "Se"], "frac_coords": [[0.000, 0.000, 0.000], [0.438, 0.438, 0.438], [0.774, 0.774, 0.774], [0.255, 0.255, 0.255]]}



{"formula": "Mg2MnTc", "functional": "PBEsol", "state": "relaxed", "delta_e_f_mev_per_atom": 108.4, "cell": [[2.945, 0.000, 0.000], [0.000, 2.945, 0.000], [0.000, 0.000, 7.201]], "species": ["Mg", "Mg", "Mn", "Tc"], "frac_coords": [[0.000, 0.000, 0.000], [0.500, 0.500, 0.324], [0.000, 0.000, 0.568], [0.500, 0.500, 0.739]]}